Na3Pa2GeN6, optimized geometry, DFT PBE-GGA; formation energy (no corrections) = -7.08 eV per formula unit; magnetization = 0.0 μB per formula unit; DOS(E_F) = 7.78 states/eV per cell
1.0
-0.8445 -2.1311 -5.3262
-1.9093 -3.1601 4.4712
-4.1297 4.5588 0.0300
Na N Pa Ge
3 6 2 1
Direct
0.1548 0.8452 0.5000
0.8452 0.1548 0.5000
0.5000 0.5000 0.5000
0.3693 0.0611 0.1908
0.6307 0.9389 0.8092
0.0611 0.3693 0.1908
0.2783 0.2783 0.8045
0.9389 0.6307 0.8092
0.7217 0.7217 0.1955
0.3310 0.6690 0.0000
0.6690 0.3310 0.0000
0.0000 0.0000 0.0000